1.
First-principles (PBE) data for a relaxed structure of ScSiSe2Br, as listed in Alexandria.

Lattice parameters (Å, degrees): 5.2276 5.2276 5.0521 90.00 90.00 90.00
With the nearest neighbours (Å) after each atom.
Fractional positions:
Sc 0.0000 0.0000 0.0000  2 Br 2.53, 4 Se 2.61
Si 0.5000 0.5000 0.5000  8 Se 3.63, 4 Br 3.70
Se 0.0000 0.5000 0.0000  2 Sc 2.61
Se 0.5000 0.0000 0.0000  2 Sc 2.61
Br 0.0000 0.0000 0.5000  2 Sc 2.53

Summary:
As for the space group: P4/mmm. As for the energy relative to the elements, uncorrected: -268 meV per atom. The value obtained for the excess energy over the best structure of this formula in the dataset is 0.000 eV per atom.


2.
First-principles (PBE) data for a relaxed structure of Pm3Sn, as listed in Alexandria.

Lattice parameters (Å, degrees): 5.5394 5.5394 5.5394 60.00 60.00 60.00
With the nearest neighbours (Å) after each atom.
Fractional positions:
Pm 0.0000 0.0000 0.0000  8 Pm 3.39
Pm 0.2500 0.2500 0.2500  4 Sn 3.39, 4 Pm 3.39
Pm 0.7500 0.7500 0.7500  4 Sn 3.39, 4 Pm 3.39
Sn 0.5000 0.5000 0.5000  8 Pm 3.39

Summary:
As for the space group: Fm-3m. For the energy of formation from the pure elements, the calculation gives -255 meV per atom. The value obtained for the excess energy over the best structure of this formula in the dataset is 0.196 eV per atom.


3.
First-principles (PBE) data for a relaxed structure of Ca2AcCeHg4, as listed in Alexandria.

Lattice parameters (Å, degrees): 9.5245 9.5245 9.5245 33.40 33.40 33.40
With the nearest neighbours (Å) after each atom.
Fractional positions:
Ca 0.2484 0.2484 0.2484  8 Hg 3.25-3.53
Ca 0.7516 0.7516 0.7516  8 Hg 3.25-3.53
Ac 0.0000 0.0000 0.0000  8 Hg 3.39-3.44
Ce 0.5000 0.5000 0.5000  8 Hg 3.25-3.33
Hg 0.1278 0.1278 0.1278  4 Ca 3.25-3.36, 3 Ce 3.33, 1 Ac 3.44
Hg 0.3793 0.3793 0.3793  1 Ce 3.25, 4 Ca 3.33-3.53, 3 Ac 3.39
Hg 0.6207 0.6207 0.6207  1 Ce 3.25, 4 Ca 3.33-3.53, 3 Ac 3.39
Hg 0.8722 0.8722 0.8722  4 Ca 3.25-3.36, 3 Ce 3.33, 1 Ac 3.44

Summary:
As for the space group: R-3m. For the energy of formation from the pure elements, the calculation gives -491 meV per atom.


4.
First-principles (PBE) data for a relaxed structure of UBiSb, as listed in Alexandria.

Lattice parameters (Å, degrees): 5.5735 5.5735 3.0960 90.00 90.00 120.00
With the nearest neighbours (Å) after each atom.
Fractional positions:
U 0.0000 0.0000 0.0000  2 U 3.10
Bi 0.3333 0.6667 0.4997  2 Bi 3.10, 3 Sb 3.22
Sb 0.6667 0.3333 0.4973  2 Sb 3.10, 3 Bi 3.22

Summary:
As for the space group: P3m1. As for the energy relative to the elements, uncorrected: 142 meV per atom. The value obtained for the excess energy over the best structure of this formula in the dataset is 0.262 eV per atom.


5.
First-principles (PBE) data for a relaxed structure of P2HIrAu, as listed in Alexandria.

Lattice parameters (Å, degrees): 3.1922 4.2224 5.9555 96.92 93.57 108.85
With the nearest neighbours (Å) after each atom.
Fractional positions:
P 0.0000 0.0000 0.0000  3 Ir 2.32-2.38, 1 H 2.44, 1 Au 2.48
P 0.1300 0.3824 0.6164  2 Ir 2.41-2.42, 2 Au 2.44-2.61, 1 H 2.64
H 0.7569 0.4232 0.2177  1 Ir 1.75, 1 Au 1.79
Ir 0.6756 0.4003 0.9227  1 H 1.75
Au 0.9910 0.8320 0.3854  1 H 1.79

Summary:
As for the space group: P1. The value obtained for the excess energy over the best structure of this formula in the dataset is 0.106 eV per atom.


6.
First-principles (PBE) data for a relaxed structure of InCuSe2, as listed in Alexandria.

Lattice parameters (Å, degrees): 5.2911 6.4318 6.6811 61.30 66.75 89.90
With the nearest neighbours (Å) after each atom.
Fractional positions:
In 0.0000 0.0000 0.0000  5 Se 2.69-2.89
In 0.2503 0.7492 0.5014  5 Se 2.69-2.89
Cu 0.5081 0.4890 0.9927  5 Se 2.48-2.71
Cu 0.7467 0.2316 0.5088  5 Se 2.48-2.69
Se 0.2649 0.1805 0.4728  3 Cu 2.55-2.69, 2 In 2.69-2.81
Se 0.5141 0.8851 0.9724  2 Cu 2.48-2.54, 2 In 2.78
Se 0.7361 0.6070 0.5294  2 Cu 2.48-2.53, 2 In 2.77-2.78
Se 0.9858 0.4030 0.0286  3 Cu 2.55-2.71, 2 In 2.69-2.81

Summary:
As for the space group: P1. As for the energy relative to the elements, uncorrected: -257 meV per atom.


7.
First-principles (PBE) data for a relaxed structure of NaTc2Hg, as listed in Alexandria.

Lattice parameters (Å, degrees): 6.1781 6.1781 6.1781 99.28 99.28 132.65
With the nearest neighbours (Å) after each atom.
Fractional positions:
Na 0.0000 0.0000 0.0000  2 Hg 2.48
Na 0.7500 0.2500 0.5000  2 Hg 2.48
Tc 0.1561 0.6250 0.0311  2 Tc 2.53, 2 Hg 2.73
Tc 0.3750 0.4061 0.5311  2 Tc 2.53, 2 Hg 2.73
Tc 0.5939 0.1250 0.9689  2 Tc 2.53, 2 Hg 2.73
Tc 0.8750 0.8439 0.4689  2 Tc 2.53, 2 Hg 2.73
Hg 0.2500 0.7500 0.5000  2 Na 2.48, 4 Tc 2.73
Hg 0.5000 0.5000 0.0000  2 Na 2.48, 4 Tc 2.73

Summary:
As for the space group: I-42d. For the energy of formation from the pure elements, the calculation gives 1240 meV per atom.


8.
First-principles (PBE) data for a relaxed structure of MgBeCu3, as listed in Alexandria.

Lattice parameters (Å, degrees): 4.4678 4.4678 4.4678 90.00 90.00 90.00
With the nearest neighbours (Å) after each atom.
Fractional positions:
Mg 0.0000 0.0000 0.0000  6 Cu 2.23
Be 0.5000 0.5000 0.5000  12 Cu 3.16
Cu 0.0000 0.0000 0.5000  2 Mg 2.23
Cu 0.0000 0.5000 0.0000  2 Mg 2.23
Cu 0.5000 0.0000 0.0000  2 Mg 2.23

Summary:
As for the space group: Pm-3m. For the energy of formation from the pure elements, the calculation gives 1315 meV per atom. The value obtained for the excess energy over the best structure of this formula in the dataset is 1.113 eV per atom.